Entry 1
Pm3Y8Sc2 GGA-PBE optimized geometry; symmetry = P2/m
1.0
-5.200 0.211 -0.406
-0.699 -4.633 6.532
0.348 11.305 1.434
Pm Y Sc
3 8 2
Cartesian
-2.600 0.106 -0.203 Pm
-0.217 -0.807 2.360 Pm
-5.333 7.691 5.200 Pm
-0.394 0.921 5.527 Y
-5.156 5.963 2.033 Y
0.034 2.395 0.809 Y
-5.585 4.489 6.751 Y
-2.767 5.051 4.518 Y
-2.519 8.227 3.001 Y
-3.031 -1.343 4.559 Y
-2.784 1.833 3.042 Y
-2.517 4.418 0.985 Sc
-3.033 2.466 6.575 Sc

***

Entry 2
Pm3Y8Sc2 GGA-PBE optimized geometry; symmetry = C2/m
1.0
-5.702 3.541 -1.481
1.259 1.223 8.332
5.846 5.903 1.864
Pm Y Sc
3 8 2
Cartesian
-2.851 1.771 -0.741 Pm
5.043 5.084 2.996 Pm
2.062 2.042 7.200 Pm
2.846 4.982 5.624 Y
-1.443 5.686 3.091 Y
-3.765 4.810 0.811 Y
5.168 5.857 7.904 Y
-0.059 2.964 4.512 Y
1.627 4.684 2.135 Y
-0.224 5.983 6.580 Y
1.462 7.703 4.204 Y
-0.916 2.757 1.346 Sc
2.319 7.910 7.370 Sc

***

It is entry 1 that is most stable; the runner-up trails by 0.115 eV/atom.